First-principles (PBE) data for crystalline CoTcOs2 at its relaxed geometry, as listed in the Alexandria database.

As for the energy above the most stable polymorph in this dataset: 1196 meV/atom. For the raw total energy, the calculation gives -8.686 eV/atom. The energy of formation is 1.2966 eV/atom.

It has space group I-42d (No. 122), with a = 5.306 Å, b = 5.306 Å, c = 11.055 Å, α = 90.00°, β = 90.00° and γ = 90.00°. The distinct sites, in fractional coordinates, are Co at (0.000, 0.000, 0.000), Tc at (0.000, 0.000, 0.500) and Os at (0.225, 0.250, 0.125).

First-principles (PBE) data for crystalline BeZnAg at its relaxed geometry, as listed in the Alexandria database.

As for the energy above the most stable polymorph in this dataset: 68 meV/atom. For the raw total energy, the calculation gives -2.498 eV/atom. The energy of formation is 0.1190 eV/atom.

It has space group Ama2 (No. 40), with a = 4.086 Å, b = 4.642 Å, c = 8.666 Å, α = 90.00°, β = 90.00° and γ = 90.00°. The distinct sites, in fractional coordinates, are Be at (0.250, 0.144, 0.000), Zn at (0.250, 0.177, 0.380) and Ag at (0.250, 0.222, 0.683).

First-principles (PBE) data for crystalline LiNd2URh6 at its relaxed geometry, as listed in the Alexandria database.

For the raw total energy, the calculation gives -7.057 eV/atom. The energy of formation is -0.3727 eV/atom.

It has space group C2/m (No. 12), with a = 10.462 Å, b = 6.033 Å, c = 7.058 Å, α = 90.00°, β = 119.68° and γ = 90.00°. The distinct sites, in fractional coordinates, are Li at (0.000, 0.000, 0.000), Nd at (0.234, 0.000, 0.701), U at (0.000, 0.500, 0.500), Rh at (0.020, 0.263, 0.798) and Rh at (0.243, 0.000, 0.201).

- Number 1 is which compound?
  CoTcOs2

- The highest energy of formation belongs to which entry?
  CoTcOs2

- Number 3 is which compound?
  LiNd2URh6

- energy of formation of number 1 (CoTcOs2)?
  1.2966 eV/atom